The following is a DFT calculation (GGA-PBE) of a relaxed structure of CrNiMoPd.

* raw total energy: -30.77 eV/cell
* energy of formation from the pure elements: 63 kJ/mol of formula units
* symmetry: No. 216

a b c (Å): 4.2620 4.2620 4.2620
angles (deg): 60.00 60.00 60.00
Last column: nearest neighbours and their distance in Å.
Positions (direct):
Cr (0.5000, 0.5000, 0.5000)  4 Mo 2.61, 4 Pd 2.61
Pd (0.2500, 0.2500, 0.2500)  4 Cr 2.61, 4 Ni 2.61
Mo (0.7500, 0.7500, 0.7500)  4 Cr 2.61, 4 Ni 2.61
Ni (0.0000, 0.0000, 0.0000)  4 Pd 2.61, 4 Mo 2.61